[1]
Entry from the Alexandria database: a relaxed Pm6Pr2Dy3 crystal (PBE-GGA).

Values from the calculation:
theoretical density	6.93	g/cm³
formation energy from the elements	0.17	eV per atom
electronic total energy	-4.548	eV/atom
crystal system	monoclinic

The structure in POSCAR format:
```
Pm6Pr2Dy3
1.0
3.114 -5.404 0.000
3.114 5.404 0.000
-2.114 0.000 11.668
Pm Pr Dy
6 2 3
Cartesian
-0.033 1.796 8.785
1.025 0.000 2.885
-0.033 -1.796 8.785
4.147 1.796 2.884
3.088 0.000 8.783
4.147 -1.796 2.884
2.057 1.799 5.834
2.057 -1.799 5.834
3.114 3.616 0.000
3.114 0.000 0.000
3.114 -3.616 0.000
```

---

[2]
Entry from the Alexandria database: a relaxed Pr8CoGe3Br4 crystal (PBE-GGA).

Values from the calculation:
theoretical density	6.04	g/cm³
raw formation energy	-16.3	eV per formula unit
electronic total energy	-5.135	eV/atom
crystal system	monoclinic

The structure in POSCAR format:
```
Pr8CoGe3Br4
1.0
7.468 -4.299 0.000
7.468 4.299 0.000
-4.979 0.000 7.375
Pr Co Ge Br
8 1 3 4
Cartesian
3.809 2.281 5.199
-0.106 0.000 5.231
6.148 2.281 2.176
2.490 0.000 2.075
7.467 0.000 5.299
3.809 -2.281 5.199
10.063 0.000 2.144
6.148 -2.281 2.176
-2.489 0.000 3.687
1.245 2.150 3.687
1.245 -2.150 3.687
4.979 0.000 3.687
0.000 0.000 0.000
3.734 2.150 0.000
3.734 -2.150 0.000
7.468 0.000 0.000
```

---

[3]
Entry from the Alexandria database: a relaxed NaPaAuI6 crystal (PBE-GGA).

Values from the calculation:
theoretical density	5.40	g/cm³
raw formation energy	-6.6	eV per formula unit
electronic total energy	-3.337	eV/atom
crystal system	trigonal

The structure in POSCAR format:
```
NaPaAuI6
1.0
7.636 0.000 0.000
-3.818 6.613 0.000
0.000 0.000 14.769
Na Pa Au I
2 2 2 12
Cartesian
0.000 0.000 0.000
0.000 0.000 7.385
0.000 4.409 3.692
3.818 2.204 11.077
0.000 4.409 11.077
3.818 2.204 3.692
-1.317 2.311 1.915
-2.475 4.316 5.470
1.317 2.311 5.470
-1.158 6.598 1.915
2.660 0.015 9.299
1.343 2.297 12.855
2.475 4.316 1.915
1.158 6.598 5.470
4.976 0.015 12.855
2.501 4.302 9.299
6.293 2.297 9.299
5.135 4.302 12.855
```

---

[4]
Entry from the Alexandria database: a relaxed NaAcUS4 crystal (PBE-GGA).

Values from the calculation:
theoretical density	4.74	g/cm³
raw formation energy	-11.2	eV per formula unit
electronic total energy	-6.351	eV/atom
crystal system	orthorhombic

The structure in POSCAR format:
```
NaAcUS4
1.0
-4.086 4.364 6.057
4.086 -4.364 6.057
4.086 4.364 -6.057
Na Ac U S
2 2 2 8
Cartesian
0.000 2.182 1.488
4.086 2.182 4.569
4.086 0.000 0.000
0.000 0.000 6.057
2.043 2.182 -3.028
2.043 -2.182 3.028
4.086 -0.350 2.979
4.086 4.013 -2.979
2.111 2.182 -0.336
6.062 2.182 -0.336
-1.976 2.182 6.393
1.976 2.182 6.393
0.000 0.350 9.035
0.000 4.714 3.078
```

---

- What is the theoretical density in the second record?
  6.04 g/cm³

---

Please write out number 4 again, unchanged.
Entry from the Alexandria database: a relaxed NaAcUS4 crystal (PBE-GGA).

Values from the calculation:
theoretical density	4.74	g/cm³
raw formation energy	-11.2	eV per formula unit
electronic total energy	-6.351	eV/atom
crystal system	orthorhombic

The structure in POSCAR format:
```
NaAcUS4
1.0
-4.086 4.364 6.057
4.086 -4.364 6.057
4.086 4.364 -6.057
Na Ac U S
2 2 2 8
Cartesian
0.000 2.182 1.488
4.086 2.182 4.569
4.086 0.000 0.000
0.000 0.000 6.057
2.043 2.182 -3.028
2.043 -2.182 3.028
4.086 -0.350 2.979
4.086 4.013 -2.979
2.111 2.182 -0.336
6.062 2.182 -0.336
-1.976 2.182 6.393
1.976 2.182 6.393
0.000 0.350 9.035
0.000 4.714 3.078
```

---

- Look up the electronic total energy of the third one.
  -3.337 eV/atom